No. 1
VASP calculation (PBE) on an optimized crystal structure of BC.

Computed properties:
Its formation energy is 0.37 eV/atom. Its total energy is -7.58 eV per atom. For the energy above the most stable polymorph in this dataset, the calculation gives 0.43 eV/f.u.

```
data_BC
_symmetry_space_group_name_H-M 'C 1 m 1'
_symmetry_Int_Tables_number 8
_cell_length_a 8.295
_cell_length_b 2.644
_cell_length_c 8.011
_cell_angle_alpha 90.00
_cell_angle_beta 117.23
_cell_angle_gamma 90.00
loop_
_symmetry_equiv_pos_as_xyz
'x,y,z'
'x,-y,z'
'x+1/2,y+1/2,z'
'x+1/2,-y+1/2,z'
loop_
_atom_site_label
_atom_site_type_symbol
_atom_site_fract_x
_atom_site_fract_y
_atom_site_fract_z
B1 B 0.000 0.000 0.000
B2 B 0.003 0.000 0.450
B3 B 0.103 0.500 0.739
B4 B 0.251 0.500 0.330
B5 B 0.258 0.000 0.084
B6 B 0.423 0.500 0.205
C1 C 0.106 0.500 0.534
C2 C 0.142 0.000 0.223
C3 C 0.210 0.000 0.863
C4 C 0.306 0.500 0.577
C5 C 0.395 0.000 0.688
C6 C 0.400 0.000 0.882
```



No. 2
VASP calculation (PBE) on an optimized crystal structure of B7C5.

Computed properties:
Its formation energy is 0.40 eV/atom. Its total energy is -7.34 eV per atom. For the energy above the most stable polymorph in this dataset, the calculation gives 2.86 eV/f.u.

```
data_B7C5
_symmetry_space_group_name_H-M 'C 1 m 1'
_symmetry_Int_Tables_number 8
_cell_length_a 8.705
_cell_length_b 2.593
_cell_length_c 8.572
_cell_angle_alpha 90.00
_cell_angle_beta 119.85
_cell_angle_gamma 90.00
loop_
_symmetry_equiv_pos_as_xyz
'x,y,z'
'x,-y,z'
'x+1/2,y+1/2,z'
'x+1/2,-y+1/2,z'
loop_
_atom_site_label
_atom_site_type_symbol
_atom_site_fract_x
_atom_site_fract_y
_atom_site_fract_z
B1 B 0.000 0.000 0.000
B2 B 0.015 0.500 0.542
B3 B 0.123 0.000 0.801
B4 B 0.174 0.500 0.129
B5 B 0.262 0.500 0.950
B6 B 0.319 0.000 0.661
B7 B 0.417 0.500 0.170
C1 C 0.027 0.500 0.250
C2 C 0.119 0.000 0.612
C3 C 0.219 0.500 0.356
C4 C 0.309 0.000 0.450
C5 C 0.433 0.500 0.788
```



No. 3
VASP calculation (PBE) on an optimized crystal structure of BC.

Computed properties:
Its formation energy is 0.41 eV/atom. Its total energy is -7.55 eV per atom. For the energy above the most stable polymorph in this dataset, the calculation gives 0.51 eV/f.u.

```
data_BC
_symmetry_space_group_name_H-M 'C 1 m 1'
_symmetry_Int_Tables_number 8
_cell_length_a 8.670
_cell_length_b 2.640
_cell_length_c 7.986
_cell_angle_alpha 90.00
_cell_angle_beta 116.54
_cell_angle_gamma 90.00
loop_
_symmetry_equiv_pos_as_xyz
'x,y,z'
'x,-y,z'
'x+1/2,y+1/2,z'
'x+1/2,-y+1/2,z'
loop_
_atom_site_label
_atom_site_type_symbol
_atom_site_fract_x
_atom_site_fract_y
_atom_site_fract_z
B1 B 0.000 0.000 0.000
B2 B 0.030 0.000 0.512
B3 B 0.109 0.500 0.974
B4 B 0.194 0.000 0.220
B5 B 0.235 0.500 0.830
B6 B 0.326 0.000 0.624
C1 C 0.028 0.500 0.371
C2 C 0.190 0.500 0.350
C3 C 0.203 0.000 0.716
C4 C 0.345 0.500 0.069
C5 C 0.355 0.500 0.534
C6 C 0.365 0.000 0.188
```



No. 4
VASP calculation (PBE) on an optimized crystal structure of B7C5.

Computed properties:
Its formation energy is 0.40 eV/atom. Its total energy is -7.34 eV per atom. For the energy above the most stable polymorph in this dataset, the calculation gives 2.83 eV/f.u.

```
data_B7C5
_symmetry_space_group_name_H-M 'C 1 m 1'
_symmetry_Int_Tables_number 8
_cell_length_a 13.220
_cell_length_b 2.698
_cell_length_c 4.589
_cell_angle_alpha 90.00
_cell_angle_beta 100.65
_cell_angle_gamma 90.00
loop_
_symmetry_equiv_pos_as_xyz
'x,y,z'
'x,-y,z'
'x+1/2,y+1/2,z'
'x+1/2,-y+1/2,z'
loop_
_atom_site_label
_atom_site_type_symbol
_atom_site_fract_x
_atom_site_fract_y
_atom_site_fract_z
B1 B 0.000 0.000 0.000
B2 B 0.016 0.000 0.525
B3 B 0.165 0.500 0.862
B4 B 0.218 0.000 0.308
B5 B 0.308 0.000 0.683
B6 B 0.346 0.000 0.187
B7 B 0.398 0.500 0.643
C1 C 0.067 0.500 0.044
C2 C 0.083 0.500 0.555
C3 C 0.149 0.500 0.323
C4 C 0.237 0.000 0.932
C5 C 0.410 0.500 0.265
```



What is the formula in the first record? BC